(1)
Computed, not measured: a relaxed structure of K4H6Ru at the GGA-PBE level of DFT.

abc: 7.2451 7.2451 7.2451
angles: 91.34 91.34 88.66
Last column: nearest neighbours and their distance in Å.
Fractional coordinates of all 22 atoms:
H (0.0595, 0.2307, 0.0550)  1 Ru 1.77
K (0.7500, 0.3813, 0.8813)  6 H 2.72-2.81
H (0.9450, 0.0595, 0.7693)  1 Ru 1.77
K (0.2500, 0.2500, 0.7500)  6 H 2.64
H (0.2693, 0.4405, 0.4450)  1 Ru 1.77
H (0.0550, 0.9405, 0.2307)  1 Ru 1.77
Ru (0.5000, 0.5000, 0.5000)  6 H 1.77
H (0.7693, 0.0550, 0.0595)  1 Ru 1.77
H (0.4450, 0.7307, 0.4405)  1 Ru 1.77
K (0.6187, 0.8813, 0.7500)  6 H 2.72-2.81
K (0.7500, 0.7500, 0.2500)  6 H 2.64
K (0.3813, 0.1187, 0.2500)  6 H 2.72-2.81
K (0.8813, 0.2500, 0.3813)  6 H 2.72-2.81
H (0.2307, 0.9450, 0.9405)  1 Ru 1.77
H (0.5595, 0.4450, 0.2693)  1 Ru 1.77
H (0.4405, 0.5550, 0.7307)  1 Ru 1.77
K (0.2500, 0.6187, 0.1187)  6 H 2.72-2.81
H (0.5550, 0.2693, 0.5595)  1 Ru 1.77
Ru (0.0000, 0.0000, 0.0000)  6 H 1.77
H (0.7307, 0.5595, 0.5550)  1 Ru 1.77
K (0.1187, 0.7500, 0.6187)  6 H 2.72-2.81
H (0.9405, 0.7693, 0.9450)  1 Ru 1.77

Properties
Symmetry: R-3c
Electronic total energy in eV per atom: -3.288
Magnetization in μB per atom: 0.012

=====

(2)
Computed, not measured: a relaxed structure of K2H5Ru at the GGA-PBE level of DFT.

abc: 3.5202 5.9252 6.3529
angles: 117.80 106.08 90.00
Last column: nearest neighbours and their distance in Å.
Fractional coordinates of all 8 atoms:
H (0.5000, 0.0000, 0.0000)  2 Ru 1.76
H (0.1148, 0.3162, 0.2296)  1 Ru 1.71
H (0.8852, 0.0866, 0.7704)  1 Ru 1.71
H (0.1148, 0.9134, 0.2296)  1 Ru 1.71
H (0.8852, 0.6838, 0.7704)  1 Ru 1.71
Ru (0.0000, 0.0000, 0.0000)  6 H 1.71-1.76
K (0.3383, 0.3383, 0.6766)  6 H 2.55-2.67
K (0.6617, 0.6617, 0.3234)  6 H 2.55-2.67

Properties
Symmetry: Immm
Electronic total energy in eV per atom: -3.563
D(E_F) in states/eV/f.u.: 3.93
Magnetization in μB per atom: 0.125

=====

(3)
Computed, not measured: a relaxed structure of KH2Ru2 at the GGA-PBE level of DFT.

abc: 7.6151 7.6151 2.6922
angles: 90.00 90.00 90.00
Last column: nearest neighbours and their distance in Å.
Fractional coordinates of all 10 atoms:
K (0.0000, 0.0000, 0.0000)  2 K 2.69
Ru (0.3934, 0.1066, 0.5000)  4 H 2.05
H (0.5962, 0.0962, 0.0000)  4 Ru 2.05, 1 H 2.07
Ru (0.8934, 0.3934, 0.5000)  4 H 2.05
H (0.9038, 0.5962, 0.0000)  4 Ru 2.05, 1 H 2.07
Ru (0.6066, 0.8934, 0.5000)  4 H 2.05
Ru (0.1066, 0.6066, 0.5000)  4 H 2.05
H (0.4038, 0.9038, 0.0000)  4 Ru 2.05, 1 H 2.07
H (0.0962, 0.4038, 0.0000)  4 Ru 2.05, 1 H 2.07
K (0.5000, 0.5000, 0.0000)  2 K 2.69

Properties
Symmetry: P4/mbm
Electronic total energy in eV per atom: -4.352
D(E_F) in states/eV/f.u.: 3.89
Magnetization in μB per atom: 0.363

=====

(4)
Computed, not measured: a relaxed structure of KHRu3 at the GGA-PBE level of DFT.

abc: 4.8372 4.8372 4.8372
angles: 90.00 90.00 90.00
Last column: nearest neighbours and their distance in Å.
Fractional coordinates of all 5 atoms:
Ru (0.0000, 0.5000, 0.0000)  2 K 2.42
H (0.5000, 0.5000, 0.5000)  12 Ru 3.42
Ru (0.5000, 0.0000, 0.0000)  2 K 2.42
Ru (0.0000, 0.0000, 0.5000)  2 K 2.42
K (0.0000, 0.0000, 0.0000)  6 Ru 2.42

Properties
Symmetry: Pm-3m
Electronic total energy in eV per atom: -2.941
D(E_F) in states/eV/f.u.: 6.15
Magnetization in μB per atom: 1.450

=====

(5)
Computed, not measured: a relaxed structure of K5H12Ru2 at the GGA-PBE level of DFT.

abc: 6.2205 7.0262 7.0262
angles: 56.38 93.33 93.33
Last column: nearest neighbours and their distance in Å.
Fractional coordinates of all 19 atoms:
Ru (0.0000, 0.2511, 0.7489)  8 H 1.73-1.82
H (0.9079, 0.4551, 0.4551)  1 H 1.54
H (0.1951, 0.8781, 0.3334)  1 Ru 1.73
K (0.4933, 0.6314, 0.6314)  5 H 2.57-2.65
Ru (0.0000, 0.7489, 0.2511)  8 H 1.73-1.82
K (0.5000, 0.0000, 0.0000)  10 H 2.59-2.81
H (0.8072, 0.3586, 0.8301)  1 Ru 1.73
K (0.9906, 0.2445, 0.2445)  8 H 2.56-2.77
H (0.0858, 0.9610, 0.9610)  1 H 1.49
H (0.1928, 0.6414, 0.1699)  1 Ru 1.73
H (0.1951, 0.3334, 0.8781)  1 Ru 1.73
H (0.8049, 0.6666, 0.1219)  1 Ru 1.73
H (0.0921, 0.5449, 0.5449)  1 H 1.54
H (0.1928, 0.1699, 0.6414)  1 Ru 1.73
H (0.9142, 0.0390, 0.0390)  1 H 1.49
K (0.5067, 0.3686, 0.3686)  5 H 2.57-2.65
K (0.0094, 0.7555, 0.7555)  8 H 2.56-2.77
H (0.8072, 0.8301, 0.3586)  1 Ru 1.73
H (0.8049, 0.1219, 0.6666)  1 Ru 1.73

Properties
Symmetry: C2/m
Electronic total energy in eV per atom: -3.524
D(E_F) in states/eV/f.u.: 2.47
Magnetization in μB per atom: 0.013

=====

(6)
Computed, not measured: a relaxed structure of K3H6Ru at the GGA-PBE level of DFT.

abc: 5.9640 5.9640 5.9640
angles: 60.00 60.00 60.00
Last column: nearest neighbours and their distance in Å.
Fractional coordinates of all 10 atoms:
H (0.2041, 0.7959, 0.2041)  1 Ru 1.72
H (0.7959, 0.2041, 0.2041)  1 Ru 1.72
H (0.2041, 0.2041, 0.7959)  1 Ru 1.72
H (0.7959, 0.7959, 0.2041)  1 Ru 1.72
H (0.7959, 0.2041, 0.7959)  1 Ru 1.72
K (0.2500, 0.2500, 0.2500)  12 H 3.01
H (0.2041, 0.7959, 0.7959)  1 Ru 1.72
K (0.5000, 0.5000, 0.5000)  6 H 2.50
Ru (0.0000, 0.0000, 0.0000)  6 H 1.72
K (0.7500, 0.7500, 0.7500)  12 H 3.01

Properties
Symmetry: Fm-3m
Electronic total energy in eV per atom: -3.424
D(E_F) in states/eV/f.u.: 10.57
Magnetization in μB per atom: 0.100

=====

(7)
Computed, not measured: a relaxed structure of K3H8Ru at the GGA-PBE level of DFT.

abc: 6.3241 5.9826 6.3241
angles: 58.09 90.00 121.91
Last column: nearest neighbours and their distance in Å.
Fractional coordinates of all 12 atoms:
H (0.2390, 0.1059, 0.7610)  1 Ru 1.72, 1 H 1.92
H (0.2792, 0.3428, 0.9365)  1 Ru 1.67
H (0.7208, 0.6572, 0.2792)  1 Ru 1.67
H (0.1331, 0.8941, 0.2390)  1 Ru 1.72, 1 H 1.92
H (0.7610, 0.8941, 0.8669)  1 Ru 1.72, 1 H 1.92
K (0.2500, 0.5000, 0.2500)  8 H 2.65-2.79
K (0.5000, 0.0000, 0.5000)  8 H 2.78-2.84
Ru (0.0000, 0.0000, 0.0000)  8 H 1.67-1.72
H (0.9365, 0.6572, 0.0635)  1 Ru 1.67
K (0.7500, 0.5000, 0.7500)  8 H 2.65-2.79
H (0.8669, 0.1059, 0.1331)  1 Ru 1.72, 1 H 1.92
H (0.0635, 0.3428, 0.7208)  1 Ru 1.67

Properties
Symmetry: I-42m
Electronic total energy in eV per atom: -3.420
D(E_F) in states/eV/f.u.: 4.02
Magnetization in μB per atom: 0.000

=====

(8)
Computed, not measured: a relaxed structure of KHRu3 at the GGA-PBE level of DFT.

abc: 4.1347 4.1347 4.1347
angles: 90.00 90.00 90.00
Last column: nearest neighbours and their distance in Å.
Fractional coordinates of all 5 atoms:
Ru (0.5000, 0.0000, 0.0000)  2 H 2.07
K (0.5000, 0.5000, 0.5000)  12 Ru 2.92
H (0.0000, 0.0000, 0.0000)  6 Ru 2.07
Ru (0.0000, 0.0000, 0.5000)  2 H 2.07
Ru (0.0000, 0.5000, 0.0000)  2 H 2.07

Properties
Symmetry: Pm-3m
Electronic total energy in eV per atom: -5.246
D(E_F) in states/eV/f.u.: 5.71
Magnetization in μB per atom: 0.602

=====

(9)
Computed, not measured: a relaxed structure of K3H9Ru2 at the GGA-PBE level of DFT.

abc: 5.7551 5.7551 14.2716
angles: 90.00 90.00 120.00
Last column: nearest neighbours and their distance in Å.
Fractional coordinates of all 28 atoms:
H (0.0473, 0.5236, 0.7500)  2 Ru 1.87
H (0.2003, 0.4006, 0.9055)  1 Ru 1.67
H (0.7997, 0.5994, 0.0945)  1 Ru 1.67
Ru (0.6667, 0.3333, 0.3346)  3 H 1.67
H (0.9527, 0.4764, 0.2500)  2 Ru 1.87
H (0.4764, 0.5236, 0.7500)  2 Ru 1.87
H (0.4764, 0.9527, 0.7500)  2 Ru 1.87
H (0.4006, 0.2003, 0.4055)  1 Ru 1.67
H (0.5236, 0.0473, 0.2500)  2 Ru 1.87
K (0.0000, 0.0000, 0.2500)  12 H 2.89-2.98
K (0.3333, 0.6667, 0.4177)  12 H 2.85-3.05
Ru (0.3333, 0.6667, 0.6654)  3 H 1.67
K (0.6667, 0.3333, 0.9177)  12 H 2.85-3.05
H (0.2003, 0.4006, 0.5945)  1 Ru 1.67
H (0.7997, 0.5994, 0.4055)  1 Ru 1.67
H (0.7997, 0.2003, 0.0945)  1 Ru 1.67
H (0.7997, 0.2003, 0.4055)  1 Ru 1.67
H (0.2003, 0.7997, 0.9055)  1 Ru 1.67
H (0.2003, 0.7997, 0.5945)  1 Ru 1.67
H (0.5994, 0.7997, 0.9055)  1 Ru 1.67
H (0.5236, 0.4764, 0.2500)  2 Ru 1.87
K (0.3333, 0.6667, 0.0823)  12 H 2.85-3.05
H (0.4006, 0.2003, 0.0945)  1 Ru 1.67
H (0.5994, 0.7997, 0.5945)  1 Ru 1.67
Ru (0.3333, 0.6667, 0.8346)  3 H 1.67
Ru (0.6667, 0.3333, 0.1654)  3 H 1.67
K (0.6667, 0.3333, 0.5823)  12 H 2.85-3.05
K (0.0000, 0.0000, 0.7500)  12 H 2.89-2.98

Properties
Symmetry: P6_3/mmc
Electronic total energy in eV per atom: -3.830
D(E_F) in states/eV/f.u.: 6.40
Magnetization in μB per atom: 0.144

=====

(10)
Computed, not measured: a relaxed structure of KTeH2Ru at the GGA-PBE level of DFT.

abc: 4.3889 4.3889 5.0721
angles: 90.00 90.00 90.00
Last column: nearest neighbours and their distance in Å.
Fractional coordinates of all 5 atoms:
Te (0.0000, 0.0000, 0.0000)  4 H 2.19
K (0.5000, 0.5000, 0.5000)  4 Ru 3.10, 8 H 3.35
H (0.5000, 0.0000, 0.0000)  2 Te 2.19
H (0.0000, 0.5000, 0.0000)  2 Te 2.19
Ru (0.0000, 0.0000, 0.5000)  2 Te 2.54

Properties
Symmetry: P4/mmm
Electronic total energy in eV per atom: -3.295
D(E_F) in states/eV/f.u.: 4.48
Magnetization in μB per atom: 0.248